[1]
Entry from OQMD: a relaxed structure of HfTlSi (PBE).

```
3
Lattice="3.6165 -0.3552 2.8035 0.8940 3.3331 3.0259 -0.6368 -0.7404 4.4846" Properties=species:S:1:pos:R:3 pbc="T T T"
Tl 2.9053 1.6782 7.7355
Si 0.0000 0.0000 0.0000
Hf 0.9684 0.5594 2.5785
```

Output
The space group is No. 216. The energy comes out at -5.509 eV/atom.

=====

[2]
Entry from OQMD: a relaxed structure of HfUSi (PBE).

```
3
Lattice="0.9707 -0.0646 4.4443 -2.9042 -1.9099 2.9352 1.0752 -3.9235 2.0367" Properties=species:S:1:pos:R:3 pbc="T T T"
U -0.6437 -4.4235 7.0621
Si 0.0000 0.0000 0.0000
Hf -0.2146 -1.4745 2.3540
```

Output
The space group is No. 216. The energy comes out at -8.700 eV/atom.

=====

[3]
Entry from OQMD: a relaxed structure of HfUSi (PBE).

```
3
Lattice="-2.7760 -3.0890 -2.1729 -4.5782 0.8883 -0.4693 -1.7716 1.0054 -4.2214" Properties=species:S:1:pos:R:3 pbc="T T T"
Hf -6.8444 -0.8965 -5.1477
U 0.0000 0.0000 0.0000
Si -2.2815 -0.2988 -1.7159
```

Output
The space group is No. 216. The energy comes out at -7.892 eV/atom.

=====

[4]
Entry from OQMD: a relaxed structure of HfSi2W (PBE).

```
4
Lattice="2.5832 -0.6836 3.5904 2.2483 3.4142 1.8221 -1.2342 1.6191 3.9858" Properties=species:S:1:pos:R:3 pbc="T T T"
Si 0.0000 0.0000 0.0000
Si 0.8993 1.0874 2.3496
W 2.6979 3.2623 7.0488
Hf 1.7986 2.1749 4.6992
```

Output
The space group is No. 216. The energy comes out at -8.199 eV/atom.

=====

[5]
Entry from OQMD: a relaxed structure of HfSiW (PBE).

```
3
Lattice="0.0720 -3.6815 -2.1902 2.1571 -3.3665 1.5393 -2.1265 -3.4134 1.4773" Properties=species:S:1:pos:R:3 pbc="T T T"
Si 0.0000 0.0000 0.0000
Hf 0.0257 -2.6153 0.2066
W 0.0770 -7.8460 0.6198
```

Output
The space group is No. 216. The energy comes out at -9.382 eV/atom.

=====

[6]
Entry from OQMD: a relaxed structure of HfSi2W2 (PBE).

```
5
Lattice="5.1397 -0.8575 -3.2489 5.5723 -1.3439 2.2023 -5.9253 -1.5775 0.3295" Properties=species:S:1:pos:R:3 pbc="T T T"
W 2.5015 -2.0111 1.0043
W 2.2852 -1.7679 -1.7213
Si 6.4571 -1.3270 -0.6309
Si 4.2550 -0.8744 -0.4157
Hf 0.0000 0.0000 0.0000
```

Output
The space group is No. 139. The energy comes out at -9.519 eV/atom.

=====

Number 1: mass density 9.98 g/cm³, magnetization 0.20 Bohr magnetons per cell. Number 2: mass density 11.09 g/cm³, magnetization 3.06 Bohr magnetons per cell. Number 3: mass density 10.14 g/cm³, magnetization 3.23 Bohr magnetons per cell. Number 4: mass density 10.96 g/cm³, magnetization 0.01 Bohr magnetons per cell. Number 5: mass density 11.66 g/cm³, magnetization 0.00 Bohr magnetons per cell. Number 6: mass density 12.08 g/cm³, magnetization 0.01 Bohr magnetons per cell.